1.
Below is crystalline CrCdSi2 at its relaxed geometry, with properties calculated at the PBE level.

The structure in POSCAR format:
```
CrCdSi2
1.0
4.172 0.000 0.000
0.000 4.172 0.000
2.086 2.086 8.397
Cr Cd Si
2 2 4
direct
0.500 0.500 0.000
0.250 0.750 0.500
0.750 0.250 0.500
0.000 0.000 0.000
0.212 0.625 0.250
0.375 0.462 0.750
0.538 0.125 0.250
0.875 0.788 0.750
```

- total energy (eV/atom) = -4.9146
- space-group type = I-42d, No. 122
- raw formation energy (meV per atom) = 432
- calculated density (g/cm³) = 5.0

2.
Below is crystalline CrCd2Si at its relaxed geometry, with properties calculated at the PBE level.

The structure in POSCAR format:
```
CrCd2Si
1.0
4.054 0.000 0.000
0.000 4.053 0.000
0.000 0.000 4.375
Cr Cd Si
1 2 1
direct
0.500 0.000 0.500
0.000 0.000 0.000
0.500 0.500 0.000
0.000 0.500 0.500
```

- total energy (eV/atom) = -3.8728
- space-group type = P4/mmm, No. 123
- raw formation energy (meV per atom) = 346
- calculated density (g/cm³) = 7.0

3.
Below is crystalline Cr2CdSi at its relaxed geometry, with properties calculated at the PBE level.

The structure in POSCAR format:
```
Cr2CdSi
1.0
-5.202 -7.180 1.009
-2.881 -8.210 1.980
-4.526 -6.789 3.613
Cr Cd Si
2 1 1
direct
0.509 0.509 0.509
0.991 0.991 0.991
0.750 0.750 0.750
0.250 0.250 0.250
```

- total energy (eV/atom) = -6.0054
- space-group type = R-3m, No. 166
- raw formation energy (meV per atom) = 391
- calculated density (g/cm³) = 7.2

4.
Below is crystalline Cr2CdSi at its relaxed geometry, with properties calculated at the PBE level.

The structure in POSCAR format:
```
Cr2CdSi
1.0
-0.897 1.830 -3.908
-3.965 -0.566 -1.840
-2.814 3.382 -0.256
Cd Si Cr
1 1 2
direct
0.500 0.500 0.500
0.750 0.750 0.750
0.250 0.250 0.250
0.000 0.000 0.000
```

- total energy (eV/atom) = -5.9945
- space-group type = F-43m, No. 216
- raw formation energy (meV per atom) = 402
- calculated density (g/cm³) = 6.7

5.
Below is crystalline CrCd2Si at its relaxed geometry, with properties calculated at the PBE level.

The structure in POSCAR format:
```
CrCd2Si
1.0
5.058 0.022 0.000
-2.130 4.588 0.000
0.000 0.000 3.196
Cd Cr Si
2 1 1
direct
0.000 0.000 0.000
0.500 0.500 0.000
0.500 0.000 0.500
0.000 0.500 0.500
```

- total energy (eV/atom) = -3.7977
- space-group type = Cmmm, No. 65
- raw formation energy (meV per atom) = 421
- calculated density (g/cm³) = 6.8

6.
Below is crystalline CrCd3Si at its relaxed geometry, with properties calculated at the PBE level.

The structure in POSCAR format:
```
CrCd3Si
1.0
5.190 0.000 0.000
0.000 5.190 0.000
0.000 0.000 5.190
Cr Cd Si
1 3 1
direct
0.000 0.000 0.000
0.000 0.500 0.000
0.500 0.000 0.000
0.000 0.000 0.500
0.500 0.500 0.500
```

- total energy (eV/atom) = -2.5257
- distance to the lowest polymorph of the same formula (kJ per mole of atoms) = 23.12
- space-group type = Pm-3m, No. 221
- raw formation energy (meV per atom) = 1033
- calculated density (g/cm³) = 5.0

7.
Below is crystalline CrCdSi2 at its relaxed geometry, with properties calculated at the PBE level.

The structure in POSCAR format:
```
CrCdSi2
1.0
4.779 -0.138 0.000
-1.246 4.616 0.000
0.000 0.000 3.005
Cr Cd Si
1 1 2
direct
0.000 0.500 0.500
0.500 0.000 0.500
0.000 0.000 0.000
0.500 0.500 0.000
```

- total energy (eV/atom) = -4.8777
- space-group type = Cmmm, No. 65
- raw formation energy (meV per atom) = 468
- calculated density (g/cm³) = 5.6

8.
Below is crystalline Cr2CdSi at its relaxed geometry, with properties calculated at the PBE level.

The structure in POSCAR format:
```
Cr2CdSi
1.0
-3.158 -3.210 1.924
1.378 -1.399 4.486
-1.177 4.009 -2.554
Cd Cr Si
1 2 1
direct
0.250 0.750 0.500
0.972 0.972 0.000
0.528 0.528 0.000
0.750 0.250 0.500
```

- total energy (eV/atom) = -5.9486
- space-group type = Immm, No. 71
- raw formation energy (meV per atom) = 448
- calculated density (g/cm³) = 6.9

9.
Below is crystalline Cr2CdSi2 at its relaxed geometry, with properties calculated at the PBE level.

The structure in POSCAR format:
```
Cr2CdSi2
1.0
7.138 0.000 0.000
0.000 7.138 0.000
0.000 0.000 2.823
Cd Si Cr
2 4 4
direct
0.500 0.500 0.000
0.000 0.000 0.000
0.638 0.138 0.000
0.138 0.362 0.000
0.362 0.862 0.000
0.862 0.638 0.000
0.151 0.651 0.500
0.349 0.151 0.500
0.849 0.349 0.500
0.651 0.849 0.500
```

- total energy (eV/atom) = -6.1380
- distance to the lowest polymorph of the same formula (kJ per mole of atoms) = 0.00
- space-group type = P4/mbm, No. 127
- raw formation energy (meV per atom) = 64
- calculated density (g/cm³) = 6.3

10.
Below is crystalline CrCd2Si at its relaxed geometry, with properties calculated at the PBE level.

The structure in POSCAR format:
```
CrCd2Si
1.0
-3.158 0.140 0.072
-0.141 -1.932 -2.499
-0.150 -5.627 4.360
Cd Si Cr
2 1 1
direct
0.500 0.500 0.281
0.000 0.000 0.978
0.500 0.500 0.675
0.000 0.000 0.566
```

- total energy (eV/atom) = -4.0143
- space-group type = P4mm, No. 99
- raw formation energy (meV per atom) = 205
- calculated density (g/cm³) = 7.1

11.
Below is crystalline CrCd2Si at its relaxed geometry, with properties calculated at the PBE level.

The structure in POSCAR format:
```
CrCd2Si
1.0
7.414 -0.031 -0.013
6.908 2.690 -0.013
1.037 0.193 3.765
Cd Cr Si
2 1 1
direct
0.573 0.573 0.427
0.927 0.927 0.073
0.250 0.250 0.250
0.750 0.750 0.750
```

- total energy (eV/atom) = -4.0806
- space-group type = Immm, No. 71
- raw formation energy (meV per atom) = 139
- calculated density (g/cm³) = 6.7

12.
Below is crystalline CrCd2Si at its relaxed geometry, with properties calculated at the PBE level.

The structure in POSCAR format:
```
CrCd2Si
1.0
-0.851 1.641 5.010
-3.556 -2.807 2.826
4.264 -1.119 -3.012
Cd Cr Si
2 1 1
direct
0.000 0.000 0.000
0.500 0.500 0.000
0.750 0.250 0.500
0.250 0.750 0.500
```

- total energy (eV/atom) = -3.8637
- space-group type = I4/mmm, No. 139
- raw formation energy (meV per atom) = 355
- calculated density (g/cm³) = 7.0